# 1
BeAsIr2, relaxed, DFT GGA-PBE; formation energy = -0.163 eV/atom; DOS at the Fermi energy = 1.6 states/eV/f.u.
1.0
4.1642 -1.4727 0.0000
4.1642 1.4727 0.0000
-1.2342 0.0000 4.4957
Be As Ir
1 1 2
Direct
0.0000 0.0000 0.0000
0.7561 0.7561 0.4073
0.2790 0.2790 0.9921
0.5060 0.5060 0.5975



# 2
TaTePt, relaxed, DFT GGA-PBE; DOS at the Fermi energy = 3.1 states/eV/f.u.; uncorrected formation energy = 15 meV per atom
1.0
0.0000 3.2172 3.2172
3.2172 0.0000 3.2172
3.2172 3.2172 0.0000
Ta Te Pt
1 1 1
Direct
0.0000 0.0000 0.0000
0.7500 0.7500 0.7500
0.2500 0.2500 0.2500